Nd3P2Pt9 after structural relaxation, computed with PBE.

## Properties
E_tot   -182.98 eV per cell
Volume   18.93 Å³/atom
Total magnetic moment   0.00 μB per formula unit

extended XYZ file:
```
28
Lattice="5.954 0.000 0.000 -2.977 5.156 0.000 0.000 0.000 17.271" Properties=species:S:1:pos:R:3 pbc="T T T"
Nd 0.000 0.000 4.318
Nd 0.000 0.000 12.953
Nd 0.000 3.437 1.520
Nd 0.000 3.437 7.115
Nd 2.977 1.719 10.156
Nd 2.977 1.719 15.751
P 0.000 3.437 11.297
P 0.000 3.437 14.610
P 2.977 1.719 2.661
P 2.977 1.719 5.975
Pt -1.400 2.629 4.318
Pt 0.000 1.642 9.810
Pt 0.000 1.642 16.096
Pt -1.554 4.335 9.810
Pt -1.554 4.335 16.096
Pt 1.422 0.821 1.175
Pt 1.422 0.821 7.461
Pt 1.400 2.629 4.318
Pt 0.000 5.054 4.318
Pt 2.977 0.102 12.953
Pt 1.577 2.527 12.953
Pt 1.554 4.335 9.810
Pt 1.554 4.335 16.096
Pt 4.531 0.821 1.175
Pt 4.531 0.821 7.461
Pt 2.977 3.514 1.175
Pt 2.977 3.514 7.461
Pt 4.376 2.527 12.953
```